1.
# RbDySnO3 (GGA-PBE, optimized geometry)
# energy relative to the elements, uncorrected: -2.25 eV per atom
# total magnetic moment: 0.0 μB/f.u.
data_RbDySnO3
_chemical_formula_sum 'Rb2 Dy2 Sn2 O6'
_cell_length_a 7.481
_cell_length_b 3.497
_cell_length_c 9.421
_cell_angle_alpha 90.00
_cell_angle_beta 96.52
_cell_angle_gamma 90.00
_space_group_name_H-M_alt 'P 1 21/m 1'
_space_group_IT_number 11
_space_group_name_Hall '-P 2yb'
loop_
_atom_site_label
_atom_site_fract_x
_atom_site_fract_y
_atom_site_fract_z
Rb1 0.088 0.250 0.294
Dy1 0.419 0.750 0.635
Sn1 0.299 0.250 0.928
O1 0.236 0.250 0.690
O2 0.387 0.750 0.396
O3 0.460 0.750 0.888

=====

2.
# CeEuTe2 (GGA-PBE, optimized geometry)
# energy relative to the elements, uncorrected: -1.51 eV per atom
# total magnetic moment: 8.4 μB/f.u.
data_CeEuTe2
_chemical_formula_sum 'Ce3 Eu3 Te6'
_cell_length_a 4.5310
_cell_length_b 4.5310
_cell_length_c 22.5986
_cell_angle_alpha 90.00
_cell_angle_beta 90.00
_cell_angle_gamma 120.00
_space_group_name_H-M_alt 'R -3 m'
_space_group_IT_number 166
_space_group_name_Hall '-R 3 2"'
loop_
_atom_site_label
_atom_site_fract_x
_atom_site_fract_y
_atom_site_fract_z
Ce1 0.0000 0.0000 0.0000
Eu1 0.0000 0.0000 0.5000
Te1 0.0000 0.0000 0.2508

=====

3.
# Tm2ScCo (GGA-PBE, optimized geometry)
# total DFT energy (no corrections): -92.44 eV per cell
# total magnetic moment: 0.0 μB/f.u.
data_Tm2ScCo
_chemical_formula_sum 'Tm8 Sc4 Co4'
_cell_length_a 3.580
_cell_length_b 11.550
_cell_length_c 8.885
_cell_angle_alpha 90.00
_cell_angle_beta 90.00
_cell_angle_gamma 90.00
_space_group_name_H-M_alt 'C m c m'
_space_group_IT_number 63
_space_group_name_Hall '-C 2c 2'
loop_
_atom_site_label
_atom_site_fract_x
_atom_site_fract_y
_atom_site_fract_z
Tm1 0.000 0.138 0.068
Sc1 0.000 0.418 0.250
Co1 0.000 0.240 0.750

=====

4.
# Ca4ZrW (GGA-PBE, optimized geometry)
# total DFT energy (no corrections): -88.38 eV per cell
# total magnetic moment: 1.6 μB/f.u.
data_Ca4ZrW
_chemical_formula_sum 'Ca16 Zr4 W4'
_cell_length_a 8.929
_cell_length_b 8.929
_cell_length_c 8.929
_cell_angle_alpha 90.00
_cell_angle_beta 90.00
_cell_angle_gamma 90.00
_space_group_name_H-M_alt 'F -4 3 m'
_space_group_IT_number 216
_space_group_name_Hall 'F -4 2 3'
loop_
_atom_site_label
_atom_site_fract_x
_atom_site_fract_y
_atom_site_fract_z
Ca1 0.125 0.125 0.125
Zr1 0.000 0.000 0.500
W1 0.250 0.250 0.750